Record 1
## Mg2FeTc (PBE-GGA)

Data for crystalline Mg2FeTc at its relaxed geometry.

Computed properties:
The crystal system is tetragonal. The value obtained for the formation energy from the elements is 0.097 eV per atom. Its total energy is -21.6 eV/cell. The value obtained for the density of states at the Fermi level is 0.693 states/eV per atom. The space-group type is No. 99.

abc: 2.929 2.929 7.558
angles: 90.00 90.00 90.00
Site moments in Bohr magnetons follow the coordinates.
Positions (direct):
Mg (0.500, 0.500, 0.283)  0.00
Mg (0.000, 0.000, 0.955)  -0.01
Tc (0.000, 0.000, 0.543)  -0.12
Fe (0.500, 0.500, 0.719)  1.22

Record 2
## PrAs2Pd4 (PBE-GGA)

Data for crystalline PrAs2Pd4 at its relaxed geometry.

Computed properties:
The crystal system is tetragonal. The value obtained for the formation energy from the elements is -0.754 eV per atom. Its total energy is -80.3 eV/cell. The value obtained for the density of states at the Fermi level is 0.475 states/eV per atom. The space-group type is No. 136.

abc: 4.095 7.843 7.843
angles: 90.00 90.00 90.00
Positions (direct):
Pd (0.500, 0.590, 0.159)
Pd (0.500, 0.159, 0.590)
Pd (0.500, 0.410, 0.841)
Pd (0.000, 0.659, 0.910)
Pd (0.000, 0.341, 0.090)
Pd (0.500, 0.841, 0.410)
Pd (0.000, 0.910, 0.659)
Pd (0.000, 0.090, 0.341)
As (0.500, 0.719, 0.719)
As (0.000, 0.781, 0.219)
As (0.500, 0.281, 0.281)
As (0.000, 0.219, 0.781)
Pr (0.500, 0.000, 0.000)
Pr (0.000, 0.500, 0.500)